No. 1
This record from the Alexandria database describes crystalline K3TlAs at its relaxed geometry. The functional is GGA-PBE.

The excess energy over the best structure of this formula in the dataset is 0.176 eV per atom. As for the energy of formation: 6 meV/atom.

The space group is Pm-3m (No. 221) and the conventional cell measures 6.399, 6.399 and 6.399 Å, with angles of 90.00, 90.00 and 90.00 degrees. The inequivalent atoms are K at (0.000, 0.000, 0.500), Tl at (0.500, 0.500, 0.500) and As at (0.000, 0.000, 0.000).


No. 2
This record from the Alexandria database describes crystalline KNa2Br3 at its relaxed geometry. The functional is GGA-PBE.

The excess energy over the best structure of this formula in the dataset is 0.000 eV per atom. The uncorrected formation energy comes out at -1.589 eV per atom.

The space group is I4/mmm (No. 139) and the conventional cell measures 4.607, 4.607 and 18.070 Å, with angles of 90.00, 90.00 and 90.00 degrees. The inequivalent atoms are K at (0.000, 0.000, 0.000), Na at (0.000, 0.000, 0.332), Br at (0.000, 0.000, 0.174) and Br at (0.000, 0.000, 0.500).


No. 3
This record from the Alexandria database describes crystalline Y4As2C at its relaxed geometry. The functional is GGA-PBE.

As for the energy of formation: -887 meV/atom.

The space group is C2/m (No. 12) and the conventional cell measures 11.956, 3.840 and 7.886 Å, with angles of 90.00, 118.45 and 90.00 degrees. The inequivalent atoms are Y at (0.066, 0.000, 0.351), Y at (0.151, 0.500, 0.062), As at (0.152, 0.500, 0.689) and C at (0.000, 0.000, 0.000).


No. 4
This record from the Alexandria database describes crystalline Mg2RhBr at its relaxed geometry. The functional is GGA-PBE.

The excess energy over the best structure of this formula in the dataset is 0.000 eV per atom. The uncorrected formation energy comes out at -0.615 eV per atom.

The space group is P2/m (No. 10) and the conventional cell measures 3.327, 3.261 and 7.443 Å, with angles of 90.00, 90.72 and 90.00 degrees. The inequivalent atoms are Mg at (0.005, 0.000, 0.197), Rh at (0.500, 0.500, 0.000) and Br at (0.000, 0.500, 0.500).


Sequential ρ output: 2.51 2.81 5.40 4.76 g cm⁻³